Material: FePN2F
Method: DFT, PBE with a Hubbard U
State: optimized geometry

Summary:
Energy above the lowest structure with this stoichiometry ... 653.4 meV per atom
VASP energy ... -5.06 eV/atom
Crystal system ... tetragonal
Fermi-level density of states ... 0.32 states/eV per atom

a b c (Å): 3.9059 3.9059 3.7674
angles (deg): 90.00 90.00 90.00
With the nearest neighbours (Å) after each atom.
Space group P4/mmm (No. 123)
Asymmetric unit:
Fe  0.0000  0.0000  0.0000 [1 per cell]  2 F 1.88, 4 N 1.95
P  0.5000  0.5000  0.5000 [1 per cell]  8 N 2.71, 4 F 2.76
N  0.0000  0.5000  0.0000 [2 per cell]  2 Fe 1.95
F  0.0000  0.0000  0.5000 [1 per cell]  2 Fe 1.88